Computed, not measured: crystalline Zr2ScPt at its relaxed geometry at the GGA-PBEsol level of DFT.

## Properties
**E_form**: -2.248 eV/f.u.
**V**: 79 Å³ per cell

CIF file:
```
data_Zr2ScPt
_chemical_formula_sum 'Zr2 Sc1 Pt1'
_cell_length_a 3.315
_cell_length_b 3.315
_cell_length_c 7.221
_cell_angle_alpha 90.00
_cell_angle_beta 90.00
_cell_angle_gamma 90.00
_symmetry_space_group_name_H-M 'P 1'
_symmetry_Int_Tables_number 1
loop_
_symmetry_equiv_pos_as_xyz
'x,y,z'
loop_
_atom_site_label
_atom_site_type_symbol
_atom_site_fract_x
_atom_site_fract_y
_atom_site_fract_z
_atom_site_occupancy
Zr1 Zr 0.500 0.500 0.279 1
Zr2 Zr 0.000 0.000 0.003 1
Pt1 Pt 0.000 0.000 0.499 1
Sc1 Sc 0.500 0.500 0.719 1
```